Entry 1:
Crystalline Sc8CoNi2 at its relaxed geometry. Source: the Alexandria database, functional PBE-GGA.

Geometry as POSCAR:
```
Sc8CoNi2
1.0
3.683 -6.347 0.000
3.683 6.347 0.000
-1.909 0.000 4.753
Sc Co Ni
8 1 2
direct
0.096 0.341 0.608
0.205 0.795 0.000
0.341 0.096 0.608
0.357 0.357 0.187
0.643 0.643 0.813
0.659 0.904 0.392
0.795 0.205 0.000
0.904 0.659 0.392
0.000 0.000 0.000
0.296 0.704 0.500
0.704 0.296 0.500
```

Results
**Final energy**: -70.962 eV/f.u.
**Density**: 4.01 Mg/m³
**ΔE to the lowest computed polymorph**: 128 meV per atom
**Volume**: 20.20 Å³/atom


Entry 2:
Crystalline Sc6CoNi2 at its relaxed geometry. Source: the Alexandria database, functional PBE-GGA.

Geometry as POSCAR:
```
Sc6CoNi2
1.0
-4.301 4.371 4.479
4.301 -4.371 4.479
4.301 4.371 -4.479
Sc Co Ni
12 2 4
direct
0.034 0.205 0.828
0.259 0.583 0.325
0.259 0.934 0.675
0.261 0.312 0.573
0.261 0.688 0.949
0.377 0.205 0.172
0.623 0.795 0.828
0.739 0.312 0.051
0.739 0.688 0.427
0.741 0.066 0.325
0.741 0.417 0.675
0.966 0.795 0.172
0.000 0.500 0.500
0.500 0.500 0.000
0.000 0.153 0.153
0.000 0.847 0.847
0.372 0.000 0.372
0.628 0.000 0.628
```

Results
**Final energy**: -59.421 eV/f.u.
**Density**: 4.40 Mg/m³
**Volume**: 18.71 Å³/atom


Entry 3:
Crystalline Sc6CoNi at its relaxed geometry. Source: the Alexandria database, functional PBE-GGA.

Geometry as POSCAR:
```
Sc6CoNi
1.0
3.041 -5.040 0.000
3.041 5.040 0.000
-2.088 0.000 5.720
Sc Co Ni
6 1 1
direct
0.067 0.423 0.246
0.248 0.248 0.754
0.423 0.067 0.246
0.577 0.933 0.754
0.752 0.752 0.246
0.933 0.577 0.754
0.000 0.000 0.000
0.500 0.500 0.500
```

Results
**Final energy**: -51.709 eV/f.u.
**Density**: 3.67 Mg/m³
**ΔE to the lowest computed polymorph**: 71 meV per atom
**Volume**: 21.92 Å³/atom


no.,energy of formation from the pure elements (eV/atom)
1,-0.149
2,-0.307
3,-0.104